# MnSi2PbO

An optimized crystal structure of MnSi2PbO (PBE+U, Alexandria via LeMat-Bulk).

Unit cell a=4.323 b=4.323 c=5.280 alpha=90.00 beta=90.00 gamma=90.00
Space group P4/mmm (No. 123)
Unique sites:
Mn 0.000 0.000 0.000 x1
Si 0.000 0.500 0.000 x2
Pb 0.000 0.000 0.500 x1
O 0.500 0.500 0.500 x1

Values from the calculation:
- final energy (hartree per atom) = -0.167
- size of the total moment (Bohr magnetons per cell) = 1.0